Record 1
# FeAuO3, relaxed, DFT GGA+U
data_FeAuO3
_chemical_formula_sum 'Fe1 Au1 O3'
_cell_length_a 3.9906
_cell_length_b 3.9906
_cell_length_c 3.9906
_cell_angle_alpha 90.00
_cell_angle_beta 90.00
_cell_angle_gamma 90.00
_symmetry_space_group_name_H-M 'P m -3 m'
_symmetry_Int_Tables_number 221
_symmetry_space_group_name_Hall '-P 4 2 3'
loop_
_atom_site_label
_atom_site_fract_x
_atom_site_fract_y
_atom_site_fract_z
Fe1 0.0000 0.0000 0.0000
Au1 0.5000 0.5000 0.5000
O1 0.0000 0.5000 0.5000
# calculated volume = 64 Å³ per cell
# energy = -4.327 eV per atom
# magnetic moment = 4.2 μB per formula unit

Record 2
# FeAuO2, relaxed, DFT GGA+U
data_FeAuO2
_chemical_formula_sum 'Fe4 Au4 O8'
_cell_length_a 12.6857
_cell_length_b 3.0718
_cell_length_c 5.5453
_cell_angle_alpha 90.00
_cell_angle_beta 107.32
_cell_angle_gamma 90.00
_symmetry_space_group_name_H-M 'C 1 2/c 1'
_symmetry_Int_Tables_number 15
_symmetry_space_group_name_Hall '-C 2yc'
loop_
_atom_site_label
_atom_site_fract_x
_atom_site_fract_y
_atom_site_fract_z
Fe1 0.2500 0.2500 0.0000
Au1 0.0000 0.0000 0.0000
O1 0.1662 0.2265 0.6133
# calculated volume = 206 Å³ per cell
# energy = -5.557 eV per atom
# magnetic moment = 5.0 μB per formula unit

Record 3
# FeAuO3, relaxed, DFT GGA+U
data_FeAuO3
_chemical_formula_sum 'Fe4 Au4 O12'
_cell_length_a 10.4915
_cell_length_b 8.4736
_cell_length_c 3.0459
_cell_angle_alpha 90.00
_cell_angle_beta 105.75
_cell_angle_gamma 90.00
_symmetry_space_group_name_H-M 'C 1 2/m 1'
_symmetry_Int_Tables_number 12
_symmetry_space_group_name_Hall '-C 2y'
loop_
_atom_site_label
_atom_site_fract_x
_atom_site_fract_y
_atom_site_fract_z
Fe1 0.1776 0.0000 0.1854
Au1 0.0000 0.3156 0.5000
O1 0.1307 0.5000 0.6447
O2 0.1404 0.1486 0.6498
# calculated volume = 261 Å³ per cell
# energy = -5.412 eV per atom
# magnetic moment = 5.0 μB per formula unit

Record 4
# FeOs2AuO, relaxed, DFT GGA+U
data_FeOs2AuO
_chemical_formula_sum 'Fe1 Os2 Au1 O1'
_cell_length_a 3.9275
_cell_length_b 3.9275
_cell_length_c 5.1068
_cell_angle_alpha 90.00
_cell_angle_beta 90.00
_cell_angle_gamma 90.00
_symmetry_space_group_name_H-M 'P 4/m m m'
_symmetry_Int_Tables_number 123
_symmetry_space_group_name_Hall '-P 4 2'
loop_
_atom_site_label
_atom_site_fract_x
_atom_site_fract_y
_atom_site_fract_z
Fe1 0.0000 0.0000 0.0000
Os1 0.0000 0.5000 0.5000
Au1 0.5000 0.5000 0.0000
O1 0.5000 0.5000 0.5000
# calculated volume = 79 Å³ per cell
# energy above the most stable polymorph in this dataset = 0.000 eV/atom
# energy = -6.336 eV per atom
# magnetic moment = 2.9 μB per formula unit

Record 5
# FeOs2AuO, relaxed, DFT GGA+U
data_FeOs2AuO
_chemical_formula_sum 'Fe1 Os2 Au1 O1'
_cell_length_a 4.5506
_cell_length_b 4.5506
_cell_length_c 4.7880
_cell_angle_alpha 90.00
_cell_angle_beta 90.00
_cell_angle_gamma 90.00
_symmetry_space_group_name_H-M 'P 4/m m m'
_symmetry_Int_Tables_number 123
_symmetry_space_group_name_Hall '-P 4 2'
loop_
_atom_site_label
_atom_site_fract_x
_atom_site_fract_y
_atom_site_fract_z
Fe1 0.0000 0.0000 0.0000
Os1 0.0000 0.5000 0.0000
Au1 0.0000 0.0000 0.5000
O1 0.5000 0.5000 0.5000
# calculated volume = 99 Å³ per cell
# energy above the most stable polymorph in this dataset = 1.599 eV/atom
# energy = -4.737 eV per atom
# magnetic moment = 8.0 μB per formula unit

Record 6
# FePAuO2, relaxed, DFT GGA+U
data_FePAuO2
_chemical_formula_sum 'Fe1 P1 Au1 O2'
_cell_length_a 4.0150
_cell_length_b 4.0150
_cell_length_c 4.9607
_cell_angle_alpha 90.00
_cell_angle_beta 90.00
_cell_angle_gamma 90.00
_symmetry_space_group_name_H-M 'P 4/m m m'
_symmetry_Int_Tables_number 123
_symmetry_space_group_name_Hall '-P 4 2'
loop_
_atom_site_label
_atom_site_fract_x
_atom_site_fract_y
_atom_site_fract_z
Fe1 0.0000 0.0000 0.0000
P1 0.5000 0.5000 0.0000
Au1 0.5000 0.5000 0.5000
O1 0.0000 0.5000 0.5000
# calculated volume = 80 Å³ per cell
# energy above the most stable polymorph in this dataset = 0.734 eV/atom
# energy = -4.213 eV per atom
# magnetic moment = 4.5 μB per formula unit

Question: Which of these has the lowest calculated volume?
Answer: number 1